The following is a DFT calculation (PBE+U) of a relaxed structure of Rb3CaNi2F9.

DFT total energy, eV/atom: -4.584
Total magnetization, μB/atom: 0.27

The structure in CIF format:
```
data_Rb3CaNi2F9
_cell_length_a 6.0002
_cell_length_b 6.0002
_cell_length_c 7.3736
_cell_angle_alpha 90.00
_cell_angle_beta 90.00
_cell_angle_gamma 120.00
_space_group_name_H-M_alt 'P -3 m 1'
_space_group_IT_number 164
_space_group_name_Hall '-P 3 2"'
loop_
_atom_site_label
_atom_site_fract_x
_atom_site_fract_y
_atom_site_fract_z
Rb1 0.0000 0.0000 0.0000
Rb2 0.3333 0.6667 0.6750
Ca1 0.0000 0.0000 0.5000
Ni1 0.3333 0.6667 0.1590
F1 0.0000 0.5000 0.0000
F2 0.1750 0.3501 0.3205
```